Below is a geometry-optimized Li2LaCl6 structure, with properties calculated at the PBE level.

Calculated values
Formation energy from raw total energies in eV per atom: -1.74
ρ in g/cm³: 2.6
E_tot in eV/atom: -3.945

Unit cell a=12.442 b=5.392 c=8.714 alpha=90.00 beta=127.66 gamma=90.00
Space group C2/m (No. 12)
Inequivalent atoms, fractional coordinates:
Li (0.174, 0.000, 0.066) [4 per cell]
La (0.000, 0.000, 0.500) [2 per cell]
Cl (0.062, 0.000, 0.240) [4 per cell]
Cl (0.130, 0.500, 0.561) [4 per cell]
Cl (0.240, 0.500, 0.128) [4 per cell]